# CeYGaSi, optimized geometry, DFT PBE-GGA
data_CeYGaSi
_chemical_formula_sum 'Ce2 Y2 Ga2 Si2'
_symmetry_space_group_name_H-M 'A m m 2'
_symmetry_Int_Tables_number 38
_symmetry_space_group_name_Hall 'A 2 -2'
_cell_length_a 3.9929
_cell_length_b 4.3479
_cell_length_c 10.9320
_cell_angle_alpha 90.00
_cell_angle_beta 90.00
_cell_angle_gamma 90.00
loop_
_atom_site_label
_atom_site_type_symbol
_atom_site_fract_x
_atom_site_fract_y
_atom_site_fract_z
_atom_site_occupancy
Ce1 Ce 0.0000 0.0000 0.0000 1
Y1 Y 0.5000 0.0000 0.7170 1
Ga1 Ga 0.5000 0.0000 0.4277 1
Si1 Si 0.0000 0.0000 0.2820 1
# Fermi-level density of states   1.6311 states/eV per atom
# Crystal system   orthorhombic
# Relative energy among the computed polymorphs   0.0 meV per atom



# CeYGaSi, optimized geometry, DFT PBE-GGA
data_CeYGaSi
_chemical_formula_sum 'Ce4 Y4 Ga4 Si4'
_symmetry_space_group_name_H-M 'F -4 3 m'
_symmetry_Int_Tables_number 216
_symmetry_space_group_name_Hall 'F -4 2 3'
_cell_length_a 7.1649
_cell_length_b 7.1649
_cell_length_c 7.1649
_cell_angle_alpha 90.00
_cell_angle_beta 90.00
_cell_angle_gamma 90.00
loop_
_atom_site_label
_atom_site_type_symbol
_atom_site_fract_x
_atom_site_fract_y
_atom_site_fract_z
_atom_site_occupancy
Ce1 Ce 0.0000 0.0000 0.0000 1
Y1 Y 0.0000 0.0000 0.5000 1
Ga1 Ga 0.2500 0.2500 0.7500 1
Si1 Si 0.2500 0.2500 0.2500 1
# Fermi-level density of states   1.6430 states/eV per atom
# Crystal system   cubic
# Relative energy among the computed polymorphs   163.7 meV per atom



# Ce2Zn4GaSi3, optimized geometry, DFT PBE-GGA
data_Ce2Zn4GaSi3
_chemical_formula_sum 'Ce2 Zn4 Ga1 Si3'
_symmetry_space_group_name_H-M 'P -4 m 2'
_symmetry_Int_Tables_number 115
_symmetry_space_group_name_Hall 'P -4 -2'
_cell_length_a 4.2070
_cell_length_b 4.2070
_cell_length_c 10.3669
_cell_angle_alpha 90.00
_cell_angle_beta 90.00
_cell_angle_gamma 90.00
loop_
_atom_site_label
_atom_site_type_symbol
_atom_site_fract_x
_atom_site_fract_y
_atom_site_fract_z
_atom_site_occupancy
Ce1 Ce 0.0000 0.5000 0.2490 1
Zn1 Zn 0.0000 0.0000 0.5000 1
Zn2 Zn 0.0000 0.5000 0.8669 1
Zn3 Zn 0.5000 0.5000 0.5000 1
Ga1 Ga 0.5000 0.5000 0.0000 1
Si1 Si 0.0000 0.0000 0.0000 1
Si2 Si 0.0000 0.5000 0.6364 1
# Fermi-level density of states   1.4402 states/eV per atom
# Crystal system   tetragonal
# Uncorrected energy   -3.992 eV/atom



# CeSm2Ga, optimized geometry, DFT PBE-GGA
data_CeSm2Ga
_chemical_formula_sum 'Ce3 Sm6 Ga3'
_symmetry_space_group_name_H-M 'R 3 m'
_symmetry_Int_Tables_number 160
_symmetry_space_group_name_Hall 'R 3 -2"'
_cell_length_a 5.0452
_cell_length_b 5.0452
_cell_length_c 16.5333
_cell_angle_alpha 90.00
_cell_angle_beta 90.00
_cell_angle_gamma 120.00
loop_
_atom_site_label
_atom_site_type_symbol
_atom_site_fract_x
_atom_site_fract_y
_atom_site_fract_z
_atom_site_occupancy
Ce1 Ce 0.0000 0.0000 0.0000 1
Sm1 Sm 0.0000 0.0000 0.5620 1
Sm2 Sm 0.0000 0.0000 0.7858 1
Ga1 Ga 0.0000 0.0000 0.1965 1
# Calculated formation energy   0.016 eV per atom
# Fermi-level density of states   2.2846 states/eV per atom
# Crystal system   trigonal
# Relative energy among the computed polymorphs   235.5 meV per atom



# CeSmGa3, optimized geometry, DFT PBE-GGA
data_CeSmGa3
_chemical_formula_sum 'Ce4 Sm4 Ga12'
_symmetry_space_group_name_H-M 'C m c m'
_symmetry_Int_Tables_number 63
_symmetry_space_group_name_Hall '-C 2c 2'
_cell_length_a 4.2446
_cell_length_b 26.2028
_cell_length_c 4.2062
_cell_angle_alpha 90.00
_cell_angle_beta 90.00
_cell_angle_gamma 90.00
loop_
_atom_site_label
_atom_site_type_symbol
_atom_site_fract_x
_atom_site_fract_y
_atom_site_fract_z
_atom_site_occupancy
Ce1 Ce 0.0000 0.2059 0.2500 1
Sm1 Sm 0.0000 0.0718 0.7500 1
Ga1 Ga 0.0000 0.3281 0.2500 1
Ga2 Ga 0.0000 0.3823 0.7500 1
Ga3 Ga 0.0000 0.4764 0.7500 1
# Calculated formation energy   -0.593 eV per atom
# Fermi-level density of states   1.3075 states/eV per atom
# Crystal system   orthorhombic



# Ce2SmGa, optimized geometry, DFT PBE-GGA
data_Ce2SmGa
_chemical_formula_sum 'Ce4 Sm2 Ga2'
_symmetry_space_group_name_H-M 'P m m n'
_symmetry_Int_Tables_number 59
_cell_length_a 4.6936
_cell_length_b 6.3962
_cell_length_c 7.0244
_cell_angle_alpha 90.00
_cell_angle_beta 90.00
_cell_angle_gamma 90.00
loop_
_symmetry_equiv_pos_as_xyz
'x,y,z'
'-x,-y,-z'
'-x+1/2,-y+1/2,z'
'x+1/2,y+1/2,-z'
'x+1/2,-y,-z'
'-x+1/2,y,z'
'-x,y+1/2,-z'
'x,-y+1/2,z'
loop_
_atom_site_label
_atom_site_type_symbol
_atom_site_fract_x
_atom_site_fract_y
_atom_site_fract_z
_atom_site_occupancy
Ce1 Ce 0.2500 0.0331 0.1090 1
Sm1 Sm 0.2500 0.2500 0.5974 1
Ga1 Ga 0.2500 0.7500 0.6811 1
# Calculated formation energy   -0.288 eV per atom
# Fermi-level density of states   2.0278 states/eV per atom
# Crystal system   orthorhombic
# Relative energy among the computed polymorphs   0.0 meV per atom



# CeSmGa2, optimized geometry, DFT PBE-GGA
data_CeSmGa2
_chemical_formula_sum 'Ce1 Sm1 Ga2'
_symmetry_space_group_name_H-M 'P 4/m m m'
_symmetry_Int_Tables_number 123
_symmetry_space_group_name_Hall '-P 4 2'
_cell_length_a 3.4177
_cell_length_b 3.4177
_cell_length_c 8.1453
_cell_angle_alpha 90.00
_cell_angle_beta 90.00
_cell_angle_gamma 90.00
loop_
_atom_site_label
_atom_site_type_symbol
_atom_site_fract_x
_atom_site_fract_y
_atom_site_fract_z
_atom_site_occupancy
Ce1 Ce 0.0000 0.0000 0.0000 1
Sm1 Sm 0.0000 0.0000 0.5000 1
Ga1 Ga 0.5000 0.5000 0.2506 1
# Calculated formation energy   -0.518 eV per atom
# Fermi-level density of states   1.1400 states/eV per atom
# Crystal system   tetragonal



# CeSm2Ga, optimized geometry, DFT PBE-GGA
data_CeSm2Ga
_chemical_formula_sum 'Ce3 Sm6 Ga3'
_symmetry_space_group_name_H-M 'R -3 m'
_symmetry_Int_Tables_number 166
_symmetry_space_group_name_Hall '-R 3 2"'
_cell_length_a 3.4606
_cell_length_b 3.4606
_cell_length_c 34.0580
_cell_angle_alpha 90.00
_cell_angle_beta 90.00
_cell_angle_gamma 120.00
loop_
_atom_site_label
_atom_site_type_symbol
_atom_site_fract_x
_atom_site_fract_y
_atom_site_fract_z
_atom_site_occupancy
Ce1 Ce 0.0000 0.0000 0.0000 1
Sm1 Sm 0.0000 0.0000 0.0996 1
Ga1 Ga 0.0000 0.0000 0.5000 1
# Calculated formation energy   0.022 eV per atom
# Fermi-level density of states   1.8073 states/eV per atom
# Crystal system   trigonal
# Relative energy among the computed polymorphs   241.3 meV per atom